A relaxed SrIr3Pd2S8 crystal, computed with GGA-PBE.

Structure (POSCAR):
```
SrIr3Pd2S8
1.0
7.320 0.000 0.000
3.660 6.339 0.000
3.660 2.113 6.134
Sr Ir Pd S
1 3 2 8
direct
0.873 0.873 0.381 Sr
0.500 0.002 0.998 Ir
0.002 0.500 0.998 Ir
0.500 0.500 0.998 Ir
0.115 0.115 0.656 Pd
0.499 0.499 0.504 Pd
0.268 0.268 0.195 S
0.727 0.727 0.820 S
0.261 0.261 0.775 S
0.704 0.261 0.775 S
0.261 0.704 0.775 S
0.731 0.323 0.215 S
0.323 0.731 0.215 S
0.731 0.731 0.215 S
```

The value obtained for the formation energy from raw total energies is -0.46 eV/atom. Its space group is No. 160.